[1]
First-principles (PBE-GGA) data for crystalline TaBeMo2 at its relaxed geometry, as listed in Alexandria via LeMat-Bulk.

Values from the calculation:
Its space group is C2/m. The value obtained for the total energy is -0.3378 Ha/atom.

Cell: 4.6976 4.6976 4.4900 Å, 72.29 72.29 40.01°
With the nearest neighbours (Å) after each atom.
Fractional coordinates of all 4 atoms:
1 Be 0.2500 0.2500 0.2500  6 Mo 2.59-2.78, 4 Ta 2.76
2 Mo 0.9908 0.9908 0.0266  3 Be 2.59-2.78, 2 Mo 2.62, 3 Ta 2.74-2.79
3 Mo 0.5092 0.5092 0.4734  3 Be 2.59-2.78, 2 Mo 2.62, 3 Ta 2.74-2.79
4 Ta 0.7500 0.7500 0.7500  6 Mo 2.74-2.79, 4 Be 2.76

[2]
First-principles (PBE-GGA) data for crystalline Ta2Be2Mo at its relaxed geometry, as listed in Alexandria via LeMat-Bulk.

Values from the calculation:
Its space group is P4/mbm. The value obtained for the total energy is -0.3179 Ha/atom.

Cell: 6.3989 6.3989 3.3223 Å, 90.00 90.00 90.00°
With the nearest neighbours (Å) after each atom.
Fractional coordinates of all 10 atoms:
1 Be 0.1153 0.3847 0.0000  1 Be 2.09
2 Be 0.8847 0.6153 0.0000  1 Be 2.09
3 Be 0.3847 0.8847 0.0000  1 Be 2.09
4 Be 0.6153 0.1153 0.0000  1 Be 2.09
5 Ta 0.6804 0.8196 0.5000  6 Be 2.49-2.55
6 Ta 0.8196 0.3196 0.5000  6 Be 2.49-2.55
7 Ta 0.3196 0.1804 0.5000  6 Be 2.49-2.55
8 Ta 0.1804 0.6804 0.5000  6 Be 2.49-2.55
9 Mo 0.0000 0.0000 0.0000  4 Be 2.57, 8 Ta 2.88
10 Mo 0.5000 0.5000 0.0000  4 Be 2.57, 8 Ta 2.88

[3]
First-principles (PBE-GGA) data for crystalline TaBeMo2 at its relaxed geometry, as listed in Alexandria via LeMat-Bulk.

Values from the calculation:
Its space group is Cmmm. The value obtained for the total energy is -0.3378 Ha/atom.

Cell: 4.1598 4.1597 3.4640 Å, 90.00 90.00 89.87°
With the nearest neighbours (Å) after each atom.
Fractional coordinates of all 4 atoms:
1 Mo 0.0000 0.0000 0.0000  4 Be 2.71, 4 Ta 2.71, 4 Mo 2.94
2 Mo 0.5000 0.5000 0.0000  4 Ta 2.71, 4 Be 2.71, 4 Mo 2.94
3 Ta 0.5000 0.0000 0.5000  8 Mo 2.71, 4 Be 2.94
4 Be 0.0000 0.5000 0.5000  8 Mo 2.71, 4 Ta 2.94

[4]
First-principles (PBE-GGA) data for crystalline TaBeMo at its relaxed geometry, as listed in Alexandria via LeMat-Bulk.

Values from the calculation:
The excess energy over the best structure of this formula in the dataset is 177 meV/atom. Its space group is C2/m.

Cell: 5.8532 3.2129 9.7448 Å, 90.00 108.44 90.00°
With the nearest neighbours (Å) after each atom.
Fractional coordinates of all 12 atoms:
1 Mo 0.4089 0.5000 0.8268  2 Be 2.52, 2 Mo 2.64, 4 Ta 2.72-2.80
2 Mo 0.5911 0.5000 0.1732  2 Be 2.52, 2 Mo 2.64, 4 Ta 2.72-2.80
3 Mo 0.4089 0.0000 0.3268  2 Be 2.52, 2 Mo 2.64, 4 Ta 2.72-2.80
4 Mo 0.5911 0.0000 0.6732  2 Be 2.52, 2 Mo 2.64, 4 Ta 2.72-2.80
5 Be 0.0861 0.0000 0.6893  2 Be 2.40, 2 Mo 2.52, 2 Ta 2.65
6 Be 0.9139 0.0000 0.3107  2 Be 2.40, 2 Mo 2.52, 2 Ta 2.65
7 Be 0.9139 0.5000 0.8107  2 Be 2.40, 2 Mo 2.52, 2 Ta 2.65
8 Be 0.0861 0.5000 0.1893  2 Be 2.40, 2 Mo 2.52, 2 Ta 2.65
9 Ta 0.7724 0.0000 0.0075  5 Be 2.65-2.82, 1 Ta 2.71, 4 Mo 2.72-2.80
10 Ta 0.7724 0.5000 0.5075  5 Be 2.65-2.82, 1 Ta 2.71, 4 Mo 2.72-2.80
11 Ta 0.2276 0.0000 0.9925  5 Be 2.65-2.82, 1 Ta 2.71, 4 Mo 2.72-2.80
12 Ta 0.2276 0.5000 0.4925  5 Be 2.65-2.82, 1 Ta 2.71, 4 Mo 2.72-2.80

[5]
First-principles (PBE-GGA) data for crystalline TaBeMo at its relaxed geometry, as listed in Alexandria via LeMat-Bulk.

Values from the calculation:
The excess energy over the best structure of this formula in the dataset is 269 meV/atom. Its space group is I4mm.

Cell: 6.1695 6.1695 6.1695 Å, 154.57 154.57 36.26°
With the nearest neighbours (Å) after each atom.
Fractional coordinates of all 3 atoms:
1 Ta 0.6491 0.6491 0.0000  4 Be 2.62, 4 Ta 2.72
2 Be 0.9973 0.9973 0.0000  4 Mo 2.56, 4 Ta 2.62, 4 Be 2.72
3 Mo 0.3535 0.3535 0.0000  4 Be 2.56, 4 Mo 2.72

[6]
First-principles (PBE-GGA) data for crystalline TaBe3Mo at its relaxed geometry, as listed in Alexandria via LeMat-Bulk.

Values from the calculation:
The excess energy over the best structure of this formula in the dataset is 0 meV/atom. Its space group is Pm-3m.

Cell: 4.0951 4.0951 4.0951 Å, 90.00 90.00 90.00°
With the nearest neighbours (Å) after each atom.
Fractional coordinates of all 5 atoms:
1 Mo 0.0000 0.0000 0.0000  6 Be 2.05
2 Be 0.5000 0.0000 0.0000  2 Mo 2.05
3 Be 0.0000 0.0000 0.5000  2 Mo 2.05
4 Be 0.0000 0.5000 0.0000  2 Mo 2.05
5 Ta 0.5000 0.5000 0.5000  12 Be 2.90